## Li2TiNi2O5 (GGA+U)

Data for Li2TiNi2O5 after structural relaxation.

a b c (Å): 7.854 7.854 5.940
angles (deg): 77.80 77.80 30.24
Last column: magnetic moment on the atom in μB.
Element x y z (fractional)
Li1 0.500 0.500 0.000  0.00
Li2 0.307 0.307 0.615  0.00
Li3 0.500 0.500 0.500  0.01
Li4 0.693 0.693 0.385  0.00
Ti1 0.104 0.104 0.685  0.05
Ti2 0.896 0.896 0.315  0.05
Ni1 0.299 0.299 0.106  1.75
Ni2 0.098 0.098 0.196  1.77
Ni3 0.701 0.701 0.894  1.75
Ni4 0.902 0.902 0.804  1.77
O1 0.806 0.806 0.118  0.11
O2 0.606 0.606 0.184  0.11
O3 0.000 0.000 0.000  0.07
O4 0.194 0.194 0.882  0.11
O5 0.809 0.809 0.585  0.04
O6 0.394 0.394 0.816  0.11
O7 0.601 0.601 0.696  0.04
O8 0.000 0.000 0.500  0.07
O9 0.191 0.191 0.415  0.04
O10 0.399 0.399 0.304  0.04

Calculated values
Electronic total energy   -6.08 eV per atom
Spin magnetization   4.000 μB per formula unit
E above lowest polymorph   63 meV per atom